P.
Computed, not measured: crystalline Cd4Pt5 at its relaxed geometry at the PBE level of DFT.

```
18
Lattice="-3.151 3.805 2.691 -6.057 -5.341 0.459 5.510 0.384 5.909" Properties=species:S:1:pos:R:3 pbc="T T T"
Cd 0.000 0.000 0.000
Cd -1.575 1.902 1.346
Cd -2.557 1.095 4.277
Cd 1.193 3.101 5.832
Cd -6.272 -0.593 2.315
Cd -1.141 -2.248 4.782
Cd 1.166 1.087 2.768
Cd -2.936 -0.943 0.836
Pt -2.738 -0.544 6.382
Pt -0.629 2.974 3.878
Pt -4.270 1.173 2.163
Pt -0.960 -0.609 2.677
Pt 2.988 1.214 4.722
Pt -4.939 -2.709 0.987
Pt -2.201 -3.433 2.276
Pt 0.079 0.378 5.438
Pt 1.654 -1.525 4.092
Pt -3.777 -1.530 3.621
```

D(E_F): 0.407 states/eV/atom



Q.
Computed, not measured: crystalline Cd4Pt5 at its relaxed geometry at the PBE level of DFT.

```
9
Lattice="8.716 0.000 0.000 0.000 8.716 0.000 4.358 4.358 2.077" Properties=species:S:1:pos:R:3 pbc="T T T"
Cd 0.000 2.768 0.000
Cd 0.000 5.948 0.000
Cd 2.768 0.000 0.000
Cd 5.948 0.000 0.000
Pt 0.000 0.000 0.000
Pt 2.918 2.918 0.000
Pt 2.918 5.798 0.000
Pt 5.798 2.918 0.000
Pt 5.798 5.798 0.000
```

D(E_F): 0.467 states/eV/atom



Energies relative to the minimum, eV/atom: P 0.083; Q 0.000



P.
Computed, not measured: crystalline Cd3Pt5 at its relaxed geometry at the PBE level of DFT.

```
16
Lattice="7.601 -0.081 -0.528 -5.950 4.730 -0.528 -1.279 -3.602 8.890" Properties=species:S:1:pos:R:3 pbc="T T T"
Pt -5.241 0.183 7.956
Pt 0.389 -0.764 1.850
Pt -3.209 1.706 3.898
Pt -2.593 -0.758 7.956
Pt 1.036 -1.022 5.286
Pt 0.041 1.977 1.322
Pt 2.805 1.253 1.072
Pt 3.648 -0.471 5.012
Pt -0.623 2.185 4.758
Pt 5.389 0.335 1.072
Cd -1.369 -0.436 4.128
Cd -0.001 -1.953 7.632
Cd -2.628 3.343 1.656
Cd 2.846 -2.728 7.316
Cd -0.406 0.808 7.104
Cd 1.613 1.123 3.600
```

D(E_F): 0.627 states/eV/atom



Q.
Computed, not measured: crystalline Cd3Pt5 at its relaxed geometry at the PBE level of DFT.

```
8
Lattice="-0.820 5.614 0.703 -3.453 0.270 -4.549 -3.279 -0.785 2.442" Properties=species:S:1:pos:R:3 pbc="T T T"
Cd -2.137 2.942 -1.923
Cd -2.668 1.024 0.295
Cd -4.884 4.075 -1.700
Pt 0.000 0.000 0.000
Pt -1.726 0.135 -2.274
Pt -0.410 2.807 0.351
Pt -3.125 3.871 0.597
Pt -4.427 1.228 -2.001
```

D(E_F): 0.526 states/eV/atom



R.
Computed, not measured: crystalline Cd3Pt5 at its relaxed geometry at the PBE level of DFT.

```
16
Lattice="7.947 0.000 0.000 -3.973 6.882 0.000 0.000 0.000 5.278" Properties=species:S:1:pos:R:3 pbc="T T T"
Pt -0.809 1.401 1.319
Pt -3.164 5.481 3.958
Pt 1.618 0.000 1.319
Pt 0.809 1.401 3.958
Pt 0.000 4.588 0.000
Pt 0.000 4.588 2.639
Pt 3.973 2.294 0.000
Pt 3.973 2.294 2.639
Pt 6.329 0.000 3.958
Pt 3.164 5.481 1.319
Cd -1.600 2.770 3.958
Cd -2.374 4.112 1.319
Cd 3.199 0.000 3.958
Cd 1.599 2.771 1.319
Cd 4.747 0.000 1.319
Cd 2.374 4.112 3.958
```

D(E_F): 0.691 states/eV/atom



Energies relative to the minimum, eV/atom: P 0.111; Q 0.000; R 0.269



P.
Computed, not measured: crystalline Pu2CdPt at its relaxed geometry at the PBE level of DFT.

```
4
Lattice="2.993 0.000 0.000 0.000 5.563 0.000 0.000 0.000 5.563" Properties=species:S:1:pos:R:3 pbc="T T T"
Cd 1.496 2.781 2.781
Pt 1.496 0.000 0.000
Pu 0.000 0.000 2.781
Pu 0.000 2.781 0.000
```

D(E_F): 3.943 states/eV/atom



Q.
Computed, not measured: crystalline Pu2CdPt at its relaxed geometry at the PBE level of DFT.

```
4
Lattice="3.438 0.000 0.000 0.000 3.438 0.000 0.000 0.000 8.207" Properties=species:S:1:pos:R:3 pbc="T T T"
Cd 1.719 1.719 4.103
Pt 1.719 1.719 0.000
Pu 0.000 0.000 6.449
Pu 0.000 0.000 1.757
```

D(E_F): 3.931 states/eV/atom



R.
Computed, not measured: crystalline Pu2CdPt at its relaxed geometry at the PBE level of DFT.

```
4
Lattice="2.970 0.000 0.000 1.485 2.572 0.000 1.485 0.857 11.635" Properties=species:S:1:pos:R:3 pbc="T T T"
Cd 0.000 0.000 0.000
Pt 2.970 1.715 5.817
Pu 1.485 0.857 8.342
Pu 4.454 2.572 3.293
```

D(E_F): 2.654 states/eV/atom



S.
Computed, not measured: crystalline Pu2CdPt at its relaxed geometry at the PBE level of DFT.

```
4
Lattice="-1.443 4.881 -0.626 -2.594 1.388 -4.200 -4.955 1.274 0.351" Properties=species:S:1:pos:R:3 pbc="T T T"
Cd -4.497 3.772 -2.238
Pt 0.000 0.000 0.000
Pu -2.248 1.886 -1.119
Pu -6.745 5.658 -3.357
```

D(E_F): 4.672 states/eV/atom



Energies relative to the minimum, eV/atom: P 0.123; Q 0.000; R 0.443; S 0.114



P.
Computed, not measured: crystalline Pu3CdPt2 at its relaxed geometry at the PBE level of DFT.

```
6
Lattice="4.433 0.000 -1.402 0.000 4.249 0.000 -0.244 0.000 6.937" Properties=species:S:1:pos:R:3 pbc="T T T"
Pu 1.289 0.000 4.076
Pu 2.899 0.000 1.458
Pu 2.216 2.125 -0.701
Cd 0.000 0.000 0.000
Pt 0.645 2.125 2.039
Pt 3.544 2.125 3.495
```

D(E_F): 3.234 states/eV/atom



Q.
Computed, not measured: crystalline Pu3CdPt2 at its relaxed geometry at the PBE level of DFT.

```
6
Lattice="-3.360 -0.597 -0.477 0.647 -3.367 -0.346 -1.394 -1.468 11.662" Properties=species:S:1:pos:R:3 pbc="T T T"
Pu 0.000 0.000 0.000
Pu -0.971 -1.022 8.121
Pu -0.423 -0.446 3.541
Cd -2.053 -2.716 5.420
Pt -2.531 -3.219 9.418
Pt -1.576 -2.212 1.421
```

D(E_F): 4.913 states/eV/atom



Energies relative to the minimum, eV/atom: P 0.018; Q 0.000



P.
Computed, not measured: crystalline RbCd2Pt2 at its relaxed geometry at the PBE level of DFT.

```
5
Lattice="4.663 0.000 0.000 0.000 4.663 0.000 2.331 2.331 5.693" Properties=species:S:1:pos:R:3 pbc="T T T"
Rb 0.000 0.000 0.000
Pt 2.331 2.331 1.291
Pt 4.663 4.663 4.402
Cd 4.663 2.331 2.846
Cd 2.331 4.663 2.846
```

D(E_F): 0.333 states/eV/atom



Q.
Computed, not measured: crystalline RbCd2Pt2 at its relaxed geometry at the PBE level of DFT.

```
10
Lattice="-0.799 1.534 8.344 -4.313 -7.291 0.928 2.549 -1.443 0.510" Properties=species:S:1:pos:R:3 pbc="T T T"
Rb 0.000 0.000 0.000
Rb -2.556 -2.878 4.636
Pt -3.911 -5.621 3.646
Pt -3.507 -3.495 7.645
Pt -1.201 -0.135 5.626
Pt -1.606 -2.262 1.627
Cd -1.579 -5.152 1.983
Cd -2.959 -6.042 6.366
Cd -0.984 -2.048 7.798
Cd 0.396 -1.158 3.415
```

D(E_F): 0.301 states/eV/atom



Energies relative to the minimum, eV/atom: P 0.010; Q 0.000



P.
Computed, not measured: crystalline CdRePt at its relaxed geometry at the PBE level of DFT.

```
3
Lattice="-4.936 -3.704 -2.511 -1.534 -5.116 -3.984 3.385 3.167 4.786" Properties=species:S:1:pos:R:3 pbc="T T T"
Re -4.386 -5.978 -4.403
Pt -2.083 -2.839 -2.091
Cd -0.002 -0.002 -0.002
```

D(E_F): 0.861 states/eV/atom



Q.
Computed, not measured: crystalline CdRePt at its relaxed geometry at the PBE level of DFT.

```
3
Lattice="-1.524 0.991 2.189 1.088 -2.627 0.097 5.924 2.564 2.964" Properties=species:S:1:pos:R:3 pbc="T T T"
Re 4.066 0.244 2.720
Pt 1.411 0.678 2.525
Cd 0.011 0.005 0.006
```

D(E_F): 0.941 states/eV/atom



R.
Computed, not measured: crystalline CdRePt at its relaxed geometry at the PBE level of DFT.

```
3
Lattice="-1.019 4.224 -0.218 -3.290 1.317 -2.523 -3.684 1.445 1.807" Properties=species:S:1:pos:R:3 pbc="T T T"
Re 0.000 0.000 0.000
Pt -5.995 5.239 -0.701
Cd -3.997 3.493 -0.467
```

D(E_F): 0.888 states/eV/atom



Energies relative to the minimum, eV/atom: P 0.000; Q 0.044; R 0.510



P.
Computed, not measured: crystalline Cd2ReSiPt at its relaxed geometry at the PBE level of DFT.

```
5
Lattice="-1.307 -5.025 0.102 4.112 -1.099 -1.497 1.692 -0.341 4.898" Properties=species:S:1:pos:R:3 pbc="T T T"
Re 0.000 0.000 0.000
Si 2.056 -0.550 -0.748
Pt 2.249 -3.233 1.751
Cd 0.846 -0.170 2.449
Cd -0.653 -2.513 0.051
```

D(E_F): 0.694 states/eV/atom



Q.
Computed, not measured: crystalline Cd2ReSiPt at its relaxed geometry at the PBE level of DFT.

```
5
Lattice="5.183 0.000 0.000 0.000 4.486 0.000 0.000 0.000 5.183" Properties=species:S:1:pos:R:3 pbc="T T T"
Re 2.592 2.243 2.592
Si 0.000 2.243 0.000
Pt 0.000 0.000 0.000
Cd 0.000 0.000 2.592
Cd 2.592 0.000 0.000
```

D(E_F): 0.690 states/eV/atom



Energies relative to the minimum, eV/atom: P 0.064; Q 0.000



P.
Computed, not measured: crystalline CdPtRh at its relaxed geometry at the PBE level of DFT.

```
3
Lattice="-1.431 1.431 6.019 1.431 -1.431 6.019 1.431 1.431 -6.019" Properties=species:S:1:pos:R:3 pbc="T T T"
Cd 0.000 0.000 0.022
Pt 0.000 0.000 3.923
Rh 0.000 0.000 8.092
```

D(E_F): 1.350 states/eV/atom



Q.
Computed, not measured: crystalline CdPtRh at its relaxed geometry at the PBE level of DFT.

```
3
Lattice="1.433 -2.482 0.000 1.433 2.482 0.000 0.000 0.000 6.898" Properties=species:S:1:pos:R:3 pbc="T T T"
Cd 0.000 0.000 6.874
Pt 1.433 -0.827 2.354
Rh 1.433 0.827 4.567
```

D(E_F): 1.375 states/eV/atom



Energies relative to the minimum, eV/atom: P 0.000; Q 0.062



P.
Computed, not measured: crystalline CdPtRh at its relaxed geometry at the PBE level of DFT.

```
6
Lattice="4.673 1.094 -0.414 3.196 3.430 -1.194 -0.662 -2.956 9.053" Properties=species:S:1:pos:R:3 pbc="T T T"
Cd 3.366 -0.816 5.069
Cd 3.842 2.384 2.376
Rh 1.690 0.724 1.553
Rh 5.517 0.844 5.892
Pt 2.699 2.535 -0.253
Pt 4.508 -0.968 7.698
```

D(E_F): 1.189 states/eV/atom



Q.
Computed, not measured: crystalline CdPtRh at its relaxed geometry at the PBE level of DFT.

```
3
Lattice="-1.415 2.018 4.319 1.415 -2.018 4.319 1.415 2.018 -4.319" Properties=species:S:1:pos:R:3 pbc="T T T"
Cd 0.000 0.000 8.635
Pt 0.000 0.000 5.802
Rh 0.000 0.000 2.840
```

D(E_F): 1.649 states/eV/atom



Energies relative to the minimum, eV/atom: P 0.015; Q 0.000



P.
Computed, not measured: crystalline Cd2PtRh2 at its relaxed geometry at the PBE level of DFT.

```
5
Lattice="-1.770 1.770 7.476 1.770 -1.770 7.476 1.770 1.770 -7.476" Properties=species:S:1:pos:R:3 pbc="T T T"
Cd 0.000 0.000 8.943
Cd 0.000 0.000 6.008
Pt 0.000 0.000 0.000
Rh 1.770 0.000 3.738
Rh 0.000 1.770 3.738
```

D(E_F): 1.172 states/eV/atom



Q.
Computed, not measured: crystalline Cd2PtRh2 at its relaxed geometry at the PBE level of DFT.

```
10
Lattice="-4.713 4.657 -0.533 -4.508 -4.296 2.327 0.794 1.241 3.829" Properties=species:S:1:pos:R:3 pbc="T T T"
Rh -5.659 -2.014 1.826
Rh -6.940 1.339 1.005
Rh -3.562 2.376 -0.032
Rh -2.281 -0.977 0.790
Pt 0.000 0.000 0.000
Pt -4.611 0.181 0.897
Cd -3.447 -1.465 3.388
Cd -6.503 0.198 3.482
Cd -4.980 3.068 2.236
Cd -1.924 1.405 2.141
```

D(E_F): 1.052 states/eV/atom



Energies relative to the minimum, eV/atom: P 0.210; Q 0.000



P.
Computed, not measured: crystalline CdPt4Rh at its relaxed geometry at the PBE level of DFT.

```
12
Lattice="4.940 0.000 2.117 -1.650 6.599 3.852 -0.139 0.424 7.147" Properties=species:S:1:pos:R:3 pbc="T T T"
Cd 3.081 4.272 9.867
Cd 0.070 2.752 3.248
Pt -0.512 6.812 7.943
Pt -1.310 5.240 3.058
Pt 0.313 3.512 6.017
Pt 1.021 5.665 11.264
Pt 3.663 0.212 5.173
Pt 2.838 3.512 7.099
Pt 4.462 1.783 10.057
Pt 2.130 1.359 1.852
Rh 1.629 1.283 6.432
Rh 1.522 5.740 6.683
```

D(E_F): 1.094 states/eV/atom



Q.
Computed, not measured: crystalline CdPt4Rh at its relaxed geometry at the PBE level of DFT.

```
6
Lattice="4.073 -3.144 1.141 2.301 0.281 4.733 -0.595 -3.934 3.457" Properties=species:S:1:pos:R:3 pbc="T T T"
Cd 0.000 0.000 0.000
Pt 3.907 -2.284 4.105
Pt 2.463 -4.386 3.468
Pt 3.611 -4.246 5.829
Pt 1.579 -2.678 5.260
Rh 1.445 -1.699 2.333
```

D(E_F): 0.882 states/eV/atom



Energies relative to the minimum, eV/atom: P 0.073; Q 0.000